Density functional theory data (PBE-GGA) for an optimized crystal structure of Sr2In6CuSn.

Cell and atoms, written as POSCAR:
```
Sr2In6CuSn
1.0
3.571 2.062 13.508
-3.571 2.062 13.508
0.000 -4.123 13.508
Sr In Cu Sn
4 12 2 2
Cartesian
0.000 0.000 4.260 Sr
0.000 0.000 11.191 Sr
0.000 0.000 29.334 Sr
0.000 0.000 36.265 Sr
-2.081 -1.201 19.111 In
0.000 -1.794 14.669 In
-1.553 0.897 14.669 In
0.000 -2.402 21.414 In
-2.081 1.201 21.414 In
-1.553 -0.897 25.856 In
1.553 0.897 14.669 In
2.081 -1.201 19.111 In
0.000 2.402 19.111 In
1.553 -0.897 25.856 In
0.000 1.794 25.856 In
2.081 1.201 21.414 In
0.000 0.000 0.000 Cu
0.000 0.000 20.263 Cu
0.000 0.000 17.210 Sn
0.000 0.000 23.315 Sn
```

=====

Density functional theory data (PBE-GGA) for an optimized crystal structure of TiCoBi.

Cell and atoms, written as POSCAR:
```
TiCoBi
1.0
-1.639 1.639 11.469
1.639 -1.639 11.469
1.639 1.639 -11.469
Ti Co Bi
2 2 2
Cartesian
0.000 0.000 4.069 Ti
0.000 0.000 18.870 Ti
0.000 0.000 6.441 Co
0.000 0.000 16.498 Co
0.000 0.000 9.483 Bi
0.000 0.000 13.456 Bi
```

=====

Per-record uncorrected energy, eV/atom: -2.948 -6.462
Per-record ΔH_f (0 K), eV per atom: -0.158 -0.168
Per-record size of the total moment, μB per formula unit: 0.00 0.00